(1)
The following is a PBE calculation of an optimized crystal structure of Li7AlZn3, from Alexandria via LeMat-Bulk.

a = 6.7422 Å, b = 5.7066 Å, c = 5.7066 Å
α = 120.00°, β = 90.00°, γ = 90.00°
With the nearest neighbours (Å) after each atom.
Sites, in units of the cell vectors:
Zn 0.7831 0.5007 0.0014  5 Li 2.68-2.72, 1 Al 2.76, 4 Zn 2.84-2.87
Li 0.0978 0.6667 0.3333  3 Zn 2.68, 9 Li 2.85-2.99
Li 0.1040 0.1683 0.8317  2 Zn 2.72, 8 Li 2.82-2.95, 1 Al 2.88
Li 0.4666 0.8346 0.6692  2 Zn 2.70, 7 Li 2.83-2.99, 2 Al 2.85
Zn 0.7831 0.9986 0.4993  5 Li 2.68-2.72, 1 Al 2.76, 4 Zn 2.84-2.87
Al 0.4561 0.3333 0.6667  3 Zn 2.76, 9 Li 2.85-2.88
Li 0.1040 0.6633 0.8317  2 Zn 2.72, 8 Li 2.82-2.95, 1 Al 2.88
Li 0.4666 0.3308 0.1654  2 Zn 2.70, 7 Li 2.83-2.99, 2 Al 2.85
Zn 0.7831 0.5007 0.4993  5 Li 2.68-2.72, 1 Al 2.76, 4 Zn 2.84-2.87
Li 0.4666 0.8346 0.1654  2 Zn 2.70, 7 Li 2.83-2.99, 2 Al 2.85
Li 0.1040 0.1683 0.3367  2 Zn 2.72, 8 Li 2.82-2.95, 1 Al 2.88

Output
SG	No. 156
crystal system	trigonal

---

(2)
The following is a PBE calculation of an optimized crystal structure of LiAlZn2, from Alexandria via LeMat-Bulk.

a = 3.8889 Å, b = 3.8889 Å, c = 9.5219 Å
α = 78.22°, β = 78.22°, γ = 90.00°
With the nearest neighbours (Å) after each atom.
Sites, in units of the cell vectors:
Zn 0.1265 0.6250 0.2500  2 Li 2.66, 2 Al 2.66, 4 Zn 2.74-2.76
Al 0.0000 0.0000 0.0000  4 Zn 2.66, 4 Li 2.75
Zn 0.6235 0.1250 0.2500  2 Li 2.66, 2 Al 2.66, 4 Zn 2.74-2.76
Al 0.7500 0.2500 0.5000  4 Zn 2.66, 4 Li 2.75
Li 0.2500 0.7500 0.5000  4 Zn 2.66, 4 Al 2.75
Zn 0.8750 0.8735 0.7500  2 Li 2.66, 2 Al 2.66, 4 Zn 2.74-2.76
Zn 0.3750 0.3765 0.7500  2 Li 2.66, 2 Al 2.66, 4 Zn 2.74-2.76
Li 0.5000 0.5000 0.0000  4 Zn 2.66, 4 Al 2.75

Output
SG	No. 122
crystal system	tetragonal

---

(3)
The following is a PBE calculation of an optimized crystal structure of Li3Al8Zn3, from Alexandria via LeMat-Bulk.

a = 4.2468 Å, b = 7.9440 Å, c = 7.9440 Å
α = 76.41°, β = 74.50°, γ = 74.50°
With the nearest neighbours (Å) after each atom.
Sites, in units of the cell vectors:
Al 0.6549 0.0538 0.6364  3 Al 2.66-2.69, 3 Zn 2.74-2.86
Al 0.1253 0.2431 0.5063  4 Al 2.59-2.69, 1 Zn 2.63, 2 Li 2.89
Li 0.7738 0.2262 0.2262  2 Zn 3.02, 10 Al 3.04-3.18, 1 Li 3.21
Al 0.8747 0.4937 0.7569  4 Al 2.59-2.69, 1 Zn 2.63, 2 Li 2.89
Li 0.2262 0.7738 0.7738  2 Zn 3.02, 10 Al 3.04-3.18, 1 Li 3.21
Al 0.6549 0.6364 0.0538  3 Al 2.66-2.69, 3 Zn 2.74-2.86
Al 0.3451 0.9462 0.3636  3 Al 2.66-2.69, 3 Zn 2.74-2.86
Zn 0.0000 0.1464 0.8536  2 Zn 2.56, 6 Al 2.63-2.86
Zn 0.0000 0.8536 0.1464  2 Zn 2.56, 6 Al 2.63-2.86
Al 0.3451 0.3636 0.9462  3 Al 2.66-2.69, 3 Zn 2.74-2.86
Al 0.8747 0.7569 0.4937  4 Al 2.59-2.69, 1 Zn 2.63, 2 Li 2.89
Al 0.1253 0.5063 0.2431  4 Al 2.59-2.69, 1 Zn 2.63, 2 Li 2.89
Zn 0.5000 0.0000 0.0000  4 Zn 2.56, 4 Al 2.74
Li 0.5000 0.5000 0.5000  8 Al 2.89, 2 Li 3.21

Output
SG	No. 71
crystal system	orthorhombic

---

(4)
The following is a PBE calculation of an optimized crystal structure of Li2Al2Zn, from Alexandria via LeMat-Bulk.

a = 6.7428 Å, b = 6.7428 Å, c = 3.7984 Å
α = 90.00°, β = 90.00°, γ = 90.00°
With the nearest neighbours (Å) after each atom.
Sites, in units of the cell vectors:
Al 0.3605 0.8605 0.0000  2 Zn 2.61, 1 Al 2.66, 6 Li 2.70-2.77
Li 0.3406 0.1594 0.5000  6 Al 2.70-2.77
Zn 0.0000 0.0000 0.0000  4 Al 2.61
Al 0.8605 0.6395 0.0000  2 Zn 2.61, 1 Al 2.66, 6 Li 2.70-2.77
Li 0.1594 0.6594 0.5000  6 Al 2.70-2.77
Li 0.6594 0.8406 0.5000  6 Al 2.70-2.77
Li 0.8406 0.3406 0.5000  6 Al 2.70-2.77
Al 0.1395 0.3605 0.0000  2 Zn 2.61, 1 Al 2.66, 6 Li 2.70-2.77
Zn 0.5000 0.5000 0.0000  4 Al 2.61
Al 0.6395 0.1395 0.0000  2 Zn 2.61, 1 Al 2.66, 6 Li 2.70-2.77

Output
SG	No. 127
crystal system	tetragonal
energy above the lowest structure with this stoichiometry	0.127	eV/atom

---

(5)
The following is a PBE calculation of an optimized crystal structure of LiAl12Zn6, from Alexandria via LeMat-Bulk.

a = 7.4411 Å, b = 7.4411 Å, c = 7.4411 Å
α = 110.44°, β = 110.44°, γ = 110.44°
With the nearest neighbours (Å) after each atom.
Sites, in units of the cell vectors:
Al 0.8421 0.8960 0.2637  1 Li 2.80, 8 Al 2.80-2.89, 3 Zn 2.82-2.84
Al 0.7363 0.1579 0.1040  1 Li 2.80, 8 Al 2.80-2.89, 3 Zn 2.82-2.84
Zn 0.4666 0.3104 0.2071  4 Zn 2.77-2.91, 7 Al 2.78-2.86, 1 Li 2.82
Zn 0.3104 0.2071 0.4666  4 Zn 2.77-2.91, 7 Al 2.78-2.86, 1 Li 2.82
Zn 0.7929 0.5334 0.6896  4 Zn 2.77-2.91, 7 Al 2.78-2.86, 1 Li 2.82
Li 0.0000 0.0000 0.0000  6 Al 2.80, 6 Zn 2.82
Zn 0.5334 0.6896 0.7929  4 Zn 2.77-2.91, 7 Al 2.78-2.86, 1 Li 2.82
Zn 0.6896 0.7929 0.5334  4 Zn 2.77-2.91, 7 Al 2.78-2.86, 1 Li 2.82
Al 0.6263 0.4186 0.9395  4 Zn 2.78-2.86, 8 Al 2.80-2.89
Al 0.1579 0.1040 0.7363  1 Li 2.80, 8 Al 2.80-2.89, 3 Zn 2.82-2.84
Al 0.2637 0.8421 0.8960  1 Li 2.80, 8 Al 2.80-2.89, 3 Zn 2.82-2.84
Zn 0.2071 0.4666 0.3104  4 Zn 2.77-2.91, 7 Al 2.78-2.86, 1 Li 2.82
Al 0.1040 0.7363 0.1579  1 Li 2.80, 8 Al 2.80-2.89, 3 Zn 2.82-2.84
Al 0.5814 0.0605 0.3737  4 Zn 2.78-2.86, 8 Al 2.80-2.89
Al 0.3737 0.5814 0.0605  4 Zn 2.78-2.86, 8 Al 2.80-2.89
Al 0.9395 0.6263 0.4186  4 Zn 2.78-2.86, 8 Al 2.80-2.89
Al 0.0605 0.3737 0.5814  4 Zn 2.78-2.86, 8 Al 2.80-2.89
Al 0.8960 0.2637 0.8421  1 Li 2.80, 8 Al 2.80-2.89, 3 Zn 2.82-2.84
Al 0.4186 0.9395 0.6263  4 Zn 2.78-2.86, 8 Al 2.80-2.89

Output
SG	No. 148
crystal system	trigonal

---

(6)
The following is a PBE calculation of an optimized crystal structure of Li2Al2Zn5, from Alexandria via LeMat-Bulk.

a = 4.8299 Å, b = 4.8280 Å, c = 8.3316 Å
α = 106.63°, β = 73.42°, γ = 131.75°
With the nearest neighbours (Å) after each atom.
Sites, in units of the cell vectors:
Li 0.6606 0.3396 0.1110  8 Zn 2.74-2.84, 2 Al 2.78, 2 Li 2.82-2.83
Zn 0.3377 0.6623 0.5506  6 Zn 2.72-2.80, 5 Al 2.75-2.85, 1 Li 2.82
Al 0.0083 0.9915 0.6712  9 Zn 2.72-2.85, 2 Li 2.78, 1 Al 2.90
Zn 0.6772 0.3225 0.7769  4 Li 2.74-2.83, 3 Al 2.77-2.78, 5 Zn 2.77-2.83
Zn 0.3228 0.6775 0.2231  4 Li 2.74-2.83, 3 Al 2.77-2.78, 5 Zn 2.77-2.83
Zn 0.0000 0.0000 0.0000  2 Al 2.72, 6 Li 2.75-2.84, 4 Zn 2.82-2.83
Li 0.3394 0.6604 0.8890  8 Zn 2.74-2.84, 2 Al 2.78, 2 Li 2.82-2.83
Al 0.9917 0.0085 0.3288  9 Zn 2.72-2.85, 2 Li 2.78, 1 Al 2.90
Zn 0.6623 0.3377 0.4494  6 Zn 2.72-2.80, 5 Al 2.75-2.85, 1 Li 2.82

Output
SG	No. 2
crystal system	triclinic
energy above the lowest structure with this stoichiometry	0.000	eV/atom

---

(7)
The following is a PBE calculation of an optimized crystal structure of Li4Al2Zn3, from Alexandria via LeMat-Bulk.

a = 4.3160 Å, b = 5.2149 Å, c = 6.9916 Å
α = 82.14°, β = 72.02°, γ = 65.56°
With the nearest neighbours (Å) after each atom.
Sites, in units of the cell vectors:
Zn 0.0000 0.0000 0.0000  4 Al 2.66, 4 Li 2.70
Li 0.3311 0.4596 0.8783  2 Zn 2.63-2.70, 4 Li 2.68-2.73, 2 Al 2.78-2.81
Zn 0.6587 0.2311 0.4514  4 Li 2.61-2.73, 1 Zn 2.64, 3 Al 2.70-2.72
Al 0.6644 0.8919 0.7794  5 Zn 2.66-2.72, 3 Li 2.78-2.84
Al 0.3356 0.1081 0.2206  5 Zn 2.66-2.72, 3 Li 2.78-2.84
Li 0.6689 0.5404 0.1217  2 Zn 2.63-2.70, 4 Li 2.68-2.73, 2 Al 2.78-2.81
Zn 0.3413 0.7689 0.5486  4 Li 2.61-2.73, 1 Zn 2.64, 3 Al 2.70-2.72
Li 0.9905 0.6808 0.3383  4 Zn 2.61-2.73, 3 Li 2.68-2.74, 1 Al 2.84
Li 0.0095 0.3192 0.6617  4 Zn 2.61-2.73, 3 Li 2.68-2.74, 1 Al 2.84

Output
SG	No. 12
crystal system	monoclinic

---

(8)
The following is a PBE calculation of an optimized crystal structure of LiAlZn2, from Alexandria via LeMat-Bulk.

a = 5.2147 Å, b = 5.2147 Å, c = 2.7100 Å
α = 79.18°, β = 79.18°, γ = 116.32°
With the nearest neighbours (Å) after each atom.
Sites, in units of the cell vectors:
Li 0.0000 0.5000 0.5000  4 Zn 2.70, 2 Li 2.71, 2 Al 2.75
Zn 0.5000 0.5000 0.0000  2 Li 2.70, 2 Al 2.70, 4 Zn 2.71-2.75
Al 0.5000 0.0000 0.5000  4 Zn 2.70, 2 Al 2.71, 2 Li 2.75
Zn 0.0000 0.0000 0.0000  2 Al 2.70, 2 Li 2.70, 4 Zn 2.71-2.75

Output
SG	No. 12
crystal system	monoclinic

---

(9)
The following is a PBE calculation of an optimized crystal structure of LiAlZn2, from Alexandria via LeMat-Bulk.

a = 4.2033 Å, b = 2.9340 Å, c = 5.2840 Å
α = 73.48°, β = 90.00°, γ = 90.00°
With the nearest neighbours (Å) after each atom.
Sites, in units of the cell vectors:
Al 0.0000 0.4551 0.4656  7 Zn 2.60-2.88
Zn 0.0000 0.1954 0.9789  2 Zn 2.56, 2 Al 2.60-2.86, 4 Li 2.74
Li 0.5000 0.7954 0.7881  7 Zn 2.64-2.84, 2 Li 2.93
Zn 0.5000 0.0541 0.2674  2 Zn 2.56, 3 Li 2.64-2.84, 4 Al 2.75-2.76

Output
SG	No. 6
crystal system	monoclinic

---

(10)
The following is a PBE calculation of an optimized crystal structure of Li3AlZn4, from Alexandria via LeMat-Bulk.

a = 5.8311 Å, b = 5.8311 Å, c = 5.8311 Å
α = 78.98°, β = 126.97°, γ = 126.14°
With the nearest neighbours (Å) after each atom.
Sites, in units of the cell vectors:
Zn 0.0907 0.2487 0.3394  1 Al 2.55, 5 Li 2.58-2.64, 2 Zn 2.86
Li 0.5854 0.2463 0.8318  4 Zn 2.58-2.64, 1 Li 2.59, 1 Al 2.67
Al 0.3188 0.5000 0.8188  2 Zn 2.55, 4 Li 2.64-2.67
Li 0.8417 0.0000 0.8417  4 Zn 2.59-2.81, 2 Li 2.59, 2 Al 2.64
Zn 0.0907 0.7513 0.8420  1 Al 2.55, 5 Li 2.58-2.64, 2 Zn 2.86
Zn 0.5679 0.2488 0.3192  4 Zn 2.63-2.86, 5 Li 2.81-2.93, 2 Al 2.92
Zn 0.0704 0.7512 0.3192  4 Zn 2.63-2.86, 5 Li 2.81-2.93, 2 Al 2.92
Li 0.5854 0.7537 0.3391  4 Zn 2.58-2.64, 1 Li 2.59, 1 Al 2.67

Output
SG	No. 44
crystal system	orthorhombic
energy above the lowest structure with this stoichiometry	0.109	eV/atom

---

(11)
The following is a PBE calculation of an optimized crystal structure of LiAl5Zn4, from Alexandria via LeMat-Bulk.

a = 4.0200 Å, b = 7.0676 Å, c = 7.1800 Å
α = 118.60°, β = 106.26°, γ = 90.00°
With the nearest neighbours (Å) after each atom.
Sites, in units of the cell vectors:
Zn 0.3301 0.0763 0.6601  1 Li 2.65, 4 Al 2.69-2.76, 4 Zn 2.71-2.78
Al 0.8207 0.4086 0.6413  1 Zn 2.63, 3 Al 2.73-2.77
Al 0.1718 0.1928 0.3435  5 Zn 2.68-2.76, 3 Al 2.73-2.77, 2 Li 2.88
Al 0.1793 0.5914 0.3587  1 Zn 2.63, 3 Al 2.73-2.77
Zn 0.0173 0.7683 0.0347  5 Al 2.63-2.75, 2 Li 2.68, 2 Zn 2.71
Li 0.5000 0.0000 0.0000  6 Zn 2.65-2.68, 4 Al 2.88
Zn 0.6699 0.9237 0.3399  1 Li 2.65, 4 Al 2.69-2.76, 4 Zn 2.71-2.78
Al 0.8282 0.8072 0.6565  5 Zn 2.68-2.76, 3 Al 2.73-2.77, 2 Li 2.88
Al 0.5000 0.5000 0.0000  6 Zn 2.69-2.73, 4 Al 3.00
Zn 0.9827 0.2317 0.9653  5 Al 2.63-2.75, 2 Li 2.68, 2 Zn 2.71

Output
SG	No. 12
crystal system	monoclinic
energy above the lowest structure with this stoichiometry	0.000	eV/atom

---

(12)
The following is a PBE calculation of an optimized crystal structure of Li3AlZn, from Alexandria via LeMat-Bulk.

a = 4.6651 Å, b = 4.6651 Å, c = 4.6651 Å
α = 90.00°, β = 90.00°, γ = 90.00°
With the nearest neighbours (Å) after each atom.
Sites, in units of the cell vectors:
Li 0.0000 0.5000 0.0000  2 Zn 2.33
Al 0.5000 0.5000 0.5000  12 Li 3.30
Li 0.0000 0.0000 0.5000  2 Zn 2.33
Li 0.5000 0.0000 0.0000  2 Zn 2.33
Zn 0.0000 0.0000 0.0000  6 Li 2.33

Output
SG	No. 221
crystal system	cubic
energy above the lowest structure with this stoichiometry	0.463	eV/atom

---

no.,electronic total energy (eV/f.u.),Fermi-level density of states (states/eV/f.u.),ΔE_f (kJ/mol of formula units)
1,-21.34,5.04,-36
2,-7.75,1.67,44
3,-39.85,5.09,-33
4,-12.64,1.90,-6
5,-54.47,8.16,-1
6,-18.41,2.39,-71
7,-20.46,1.16,-145
8,-8.44,1.31,-22
9,-8.62,0.64,-40
10,-14.98,2.77,-38
11,-25.19,3.30,51
12,-9.35,1.79,136